No. 1
First-principles (PBE-GGA) data for a relaxed LiPm2Sm crystal, as listed in Alexandria via LeMat-Bulk.

Output
Its formation energy is 90 meV per atom. As for the energy relative to the lowest polymorph listed for this composition: 0.10 eV per formula unit. For the theoretical density, the calculation gives 5.814 g/cm3.

Unit cell a=3.598 b=3.598 c=34.190 alpha=90.00 beta=90.00 gamma=120.00
Atoms (fractional coordinates):
Li: 0.000 0.000 0.000
Li: 0.333 0.667 0.667
Li: 0.667 0.333 0.333
Pm: 0.000 0.000 0.414
Pm: 0.000 0.000 0.586
Pm: 0.333 0.667 0.080
Pm: 0.333 0.667 0.253
Pm: 0.667 0.333 0.747
Pm: 0.667 0.333 0.919
Sm: 0.000 0.000 0.833
Sm: 0.333 0.667 0.500
Sm: 0.667 0.333 0.166

No. 2
First-principles (PBE-GGA) data for a relaxed Pa2Tl2CrSe6 crystal, as listed in Alexandria via LeMat-Bulk.

Output
As for the energy relative to the elements, uncorrected: -0.9101 eV/atom. For the theoretical density, the calculation gives 6.864 g/cm3.

Unit cell a=7.019 b=7.019 c=8.271 alpha=97.96 beta=97.96 gamma=120.32
Atoms (fractional coordinates):
Pa: 0.166 0.834 0.000
Pa: 0.834 0.166 0.000
Tl: 0.334 0.666 0.500
Tl: 0.666 0.334 0.500
Cr: 0.500 0.500 0.000
Se: 0.100 0.434 0.799
Se: 0.244 0.244 0.194
Se: 0.434 0.100 0.799
Se: 0.566 0.900 0.201
Se: 0.756 0.756 0.806
Se: 0.900 0.566 0.201

No. 3
First-principles (PBE-GGA) data for a relaxed CsNaCu2F8 crystal, as listed in Alexandria via LeMat-Bulk.

Output
As for the energy relative to the elements, uncorrected: -1.7232 eV/atom. For the theoretical density, the calculation gives 3.476 g/cm3.

Unit cell a=7.802 b=7.802 c=7.802 alpha=43.96 beta=43.96 gamma=43.96
Atoms (fractional coordinates):
Cs: 0.000 0.000 0.000
Na: 0.500 0.500 0.500
Cu: 0.181 0.181 0.181
Cu: 0.819 0.819 0.819
F: 0.139 0.386 0.855
F: 0.145 0.861 0.614
F: 0.271 0.271 0.271
F: 0.386 0.855 0.139
F: 0.614 0.145 0.861
F: 0.729 0.729 0.729
F: 0.855 0.139 0.386
F: 0.861 0.614 0.145

No. 4
First-principles (PBE-GGA) data for a relaxed Sc4Cu2Ir crystal, as listed in Alexandria via LeMat-Bulk.

Output
Its formation energy is -410 meV per atom. For the theoretical density, the calculation gives 6.219 g/cm3.

Unit cell a=7.811 b=7.811 c=7.811 alpha=34.06 beta=34.06 gamma=34.06
Atoms (fractional coordinates):
Sc: 0.122 0.122 0.122
Sc: 0.375 0.375 0.375
Sc: 0.625 0.625 0.625
Sc: 0.878 0.878 0.878
Cu: 0.245 0.245 0.245
Cu: 0.755 0.755 0.755
Ir: 0.500 0.500 0.500